A relaxed structure of Tb6Ce2PmTm3, computed with PBE.

Cell lengths 6.133, 6.133, 11.746 Å; angles 94.99, 94.99, 120.01 degrees
Site moments in Bohr magnetons follow the coordinates.
Positions (direct):
Ce 0.333 0.667 0.000  0.74
Tb 0.915 0.579 0.748  0.01
Tb 0.085 0.421 0.252  0.01
Tm 0.166 0.834 0.500  -0.02
Tm 0.500 0.500 0.500  -0.02
Tb 0.748 0.748 0.252  0.01
Pm 0.000 0.000 0.000  0.02
Tb 0.252 0.252 0.748  0.01
Tb 0.421 0.085 0.252  0.01
Ce 0.667 0.333 0.000  0.74
Tb 0.579 0.915 0.748  0.01
Tm 0.834 0.166 0.500  -0.02

Computed properties:
Fermi-level density of states: 22.9 states/eV per cell
M_tot: 1.87 μB per cell
Uncorrected energy: -0.17513 Ha/atom